A relaxed structure of Ba2MnTlO4. Source: Alexandria via LeMat-Bulk, functional PBE with a Hubbard U.

Results
density of states at the Fermi level	0.01	states/eV per atom
uncorrected energy	-5.835	eV/atom

Unit cell a=7.143 b=7.143 c=8.541 alpha=116.60 beta=116.60 gamma=96.02
Positions (direct):
Ba (0.500, 0.000, 0.000)
Ba (0.500, 0.000, 0.500)
Ba (0.000, 0.000, 0.500)
Ba (0.500, 0.500, 0.000)
Mn (0.000, 0.500, 0.000)
Mn (0.000, 0.500, 0.500)
Tl (0.500, 0.500, 0.500)
Tl (0.000, 0.000, 0.000)
O (0.265, 0.744, 0.087)
O (0.756, 0.235, 0.413)
O (0.244, 0.765, 0.587)
O (0.735, 0.256, 0.913)
O (0.882, 0.732, 0.094)
O (0.768, 0.618, 0.406)
O (0.232, 0.382, 0.594)
O (0.118, 0.268, 0.906)